Computed, not measured: crystalline RbYC3 at its relaxed geometry at the PBE level of DFT.

Output
Energy relative to the elements ... 3.2848 eV per atom
Theoretical density ... 4.15 g/cm³
ΔE to the lowest computed polymorph ... 1017 meV per atom

a b c (Å): 4.3828 4.3828 4.3828
angles (deg): 90.00 90.00 90.00
With the nearest neighbours (Å) after each atom.
Atoms (fractional coordinates):
Rb (0.0000, 0.0000, 0.0000)  6 C 2.19
Y (0.5000, 0.5000, 0.5000)  12 C 3.10
C (0.0000, 0.0000, 0.5000)  2 Rb 2.19
C (0.0000, 0.5000, 0.0000)  2 Rb 2.19
C (0.5000, 0.0000, 0.0000)  2 Rb 2.19

***

Computed, not measured: crystalline Li5Th4Au6 at its relaxed geometry at the PBE level of DFT.

Output
Energy relative to the elements ... -0.4641 eV per atom
Theoretical density ... 10.41 g/cm³

a b c (Å): 10.8723 10.8723 15.3466
angles (deg): 90.00 90.00 157.85
With the nearest neighbours (Å) after each atom.
Atoms (fractional coordinates):
Li (0.0571, 0.9429, 0.5000)  3 Au 2.56-2.80
Li (0.1459, 0.8541, 0.8234)  4 Au 2.62-2.81
Li (0.1690, 0.8310, 0.0906)  3 Au 2.67-2.81, 2 Li 2.88
Li (0.1925, 0.8075, 0.4459)  4 Au 2.64-2.82
Li (0.3352, 0.6648, 0.4613)  4 Au 2.62-2.88, 2 Li 2.88
Li (0.6648, 0.3352, 0.9613)  4 Au 2.62-2.88, 2 Li 2.88
Li (0.8075, 0.1925, 0.9459)  4 Au 2.64-2.82
Li (0.8310, 0.1690, 0.5906)  3 Au 2.67-2.81, 2 Li 2.88
Li (0.8541, 0.1459, 0.3234)  4 Au 2.62-2.81
Li (0.9429, 0.0571, 0.0000)  3 Au 2.56-2.80
Th (0.3171, 0.6829, 0.7698)  6 Au 3.00-3.05
Th (0.3486, 0.6514, 0.1337)  6 Au 3.05-3.08
Th (0.4599, 0.5401, 0.6066)  6 Au 3.07-3.18, 2 Li 3.37
Th (0.4849, 0.5151, 0.3416)  7 Au 3.09-3.23
Th (0.5151, 0.4849, 0.8416)  7 Au 3.09-3.23
Th (0.5401, 0.4599, 0.1066)  6 Au 3.07-3.18, 2 Li 3.37
Th (0.6514, 0.3486, 0.6337)  6 Au 3.05-3.08
Th (0.6829, 0.3171, 0.2698)  6 Au 3.00-3.05
Au (0.0544, 0.9456, 0.6920)  2 Li 2.81-2.95, 1 Au 2.99, 2 Th 3.07
Au (0.0721, 0.9279, 0.9669)  5 Li 2.71-2.88
Au (0.0795, 0.9205, 0.2494)  1 Au 2.99, 6 Th 3.05-3.23, 1 Li 3.10
Au (0.2528, 0.7472, 0.5960)  4 Li 2.64-2.71
Au (0.2804, 0.7196, 0.3085)  4 Li 2.62-2.82
Au (0.3884, 0.6116, 0.9406)  4 Li 2.56-2.71
Au (0.6116, 0.3884, 0.4406)  4 Li 2.56-2.71
Au (0.7196, 0.2804, 0.8085)  4 Li 2.62-2.82
Au (0.7472, 0.2528, 0.0960)  4 Li 2.64-2.71
Au (0.9205, 0.0795, 0.7494)  1 Au 2.99, 6 Th 3.05-3.23, 1 Li 3.10
Au (0.9279, 0.0721, 0.4669)  5 Li 2.71-2.88
Au (0.9456, 0.0544, 0.1920)  2 Li 2.81-2.95, 1 Au 2.99, 2 Th 3.07

***

Computed, not measured: crystalline La4CuSe2Cl at its relaxed geometry at the PBE level of DFT.

Output
Theoretical density ... 6.08 g/cm³
Formation energy from raw total energies ... -1.416 eV/atom

a b c (Å): 7.4222 4.2071 7.5183
angles (deg): 90.00 109.07 90.00
With the nearest neighbours (Å) after each atom.
Atoms (fractional coordinates):
La (0.2428, 0.0000, 0.2445)  2 Cu 2.98, 3 Se 3.03-3.06, 1 Cl 3.05
La (0.2463, 0.5000, 0.7473)  3 Se 3.00-3.05, 1 Cu 3.04, 2 Cl 3.04
La (0.7537, 0.5000, 0.2527)  3 Se 3.00-3.05, 1 Cu 3.04, 2 Cl 3.04
La (0.7572, 0.0000, 0.7555)  2 Cu 2.98, 3 Se 3.03-3.06, 1 Cl 3.05
Cu (0.0000, 0.5000, 0.0000)  6 La 2.98-3.04
Se (0.0000, 0.0000, 0.5000)  6 La 3.00-3.03
Se (0.5000, 0.5000, 0.5000)  6 La 3.05-3.06
Cl (0.5000, 0.0000, 0.0000)  6 La 3.04-3.05

***

Computed, not measured: crystalline ZrTa2Cd at its relaxed geometry at the PBE level of DFT.

Output
Energy relative to the elements ... 0.3089 eV per atom
Theoretical density ... 11.55 g/cm³

a b c (Å): 10.1836 10.1836 10.1836
angles (deg): 17.28 17.28 17.28
With the nearest neighbours (Å) after each atom.
Atoms (fractional coordinates):
Zr (0.0000, 0.0000, 0.0000)  6 Zr 3.06, 6 Ta 3.06
Ta (0.2502, 0.2502, 0.2502)  6 Ta 3.06, 3 Zr 3.06, 3 Cd 3.07
Ta (0.7498, 0.7498, 0.7498)  6 Ta 3.06, 3 Zr 3.06, 3 Cd 3.07
Cd (0.5000, 0.5000, 0.5000)  6 Cd 3.06, 6 Ta 3.07

***

Computed, not measured: crystalline Tb3Zn4Pd2 at its relaxed geometry at the PBE level of DFT.

Output
Energy relative to the elements ... -0.5885 eV per atom
Theoretical density ... 8.72 g/cm³
ΔE to the lowest computed polymorph ... 0 meV per atom

a b c (Å): 5.7471 5.7471 8.5012
angles (deg): 113.54 113.54 45.73
With the nearest neighbours (Å) after each atom.
Atoms (fractional coordinates):
Tb (0.0000, 0.0000, 0.0000)  4 Pd 3.01, 8 Zn 3.03-3.19
Tb (0.3197, 0.3197, 0.3517)  4 Pd 3.00-3.32, 8 Zn 3.12-3.25
Tb (0.6803, 0.6803, 0.6483)  4 Pd 3.00-3.32, 8 Zn 3.12-3.25
Zn (0.0313, 0.0313, 0.3712)  1 Zn 2.55, 2 Pd 2.62
Zn (0.2819, 0.2819, 0.9510)  2 Zn 2.57, 1 Pd 2.65
Zn (0.7181, 0.7181, 0.0490)  2 Zn 2.57, 1 Pd 2.65
Zn (0.9687, 0.9687, 0.6288)  1 Zn 2.55, 2 Pd 2.62
Pd (0.4040, 0.4040, 0.7367)  3 Zn 2.62-2.65
Pd (0.5960, 0.5960, 0.2633)  3 Zn 2.62-2.65

***

Computed, not measured: crystalline Y2Fe2Os at its relaxed geometry at the PBE level of DFT.

Output
Energy relative to the elements ... 0.0361 eV per atom
Theoretical density ... 8.72 g/cm³

a b c (Å): 6.4158 6.4158 4.4380
angles (deg): 90.00 90.00 90.00
With the nearest neighbours (Å) after each atom.
Atoms (fractional coordinates):
Y (0.1835, 0.3165, 0.0000)  6 Fe 2.82-2.99
Y (0.3165, 0.8165, 0.0000)  6 Fe 2.82-2.99
Y (0.6835, 0.1835, 0.0000)  6 Fe 2.82-2.99
Y (0.8165, 0.6835, 0.0000)  6 Fe 2.82-2.99
Fe (0.1243, 0.6243, 0.5000)  1 Fe 2.26
Fe (0.3757, 0.1243, 0.5000)  1 Fe 2.26
Fe (0.6243, 0.8757, 0.5000)  1 Fe 2.26
Fe (0.8757, 0.3757, 0.5000)  1 Fe 2.26
Os (0.0000, 0.0000, 0.5000)  4 Fe 2.54
Os (0.5000, 0.5000, 0.5000)  4 Fe 2.54

***

Computed, not measured: crystalline Sc8Sn at its relaxed geometry at the PBE level of DFT.

Output
Energy relative to the elements ... -0.1595 eV per atom
Theoretical density ... 3.70 g/cm³

a b c (Å): 7.2965 7.2965 7.2965
angles (deg): 95.32 95.32 144.53
With the nearest neighbours (Å) after each atom.
Atoms (fractional coordinates):
Sc (0.0000, 0.3352, 0.3352)  11 Sc 3.19-3.31, 1 Sn 3.29
Sc (0.0000, 0.6648, 0.6648)  11 Sc 3.19-3.31, 1 Sn 3.29
Sc (0.3352, 0.0000, 0.3352)  11 Sc 3.19-3.31, 1 Sn 3.29
Sc (0.3370, 0.3370, 0.6740)  2 Sn 3.17, 10 Sc 3.20-3.31
Sc (0.3370, 0.6630, 0.0000)  2 Sn 3.17, 10 Sc 3.20-3.31
Sc (0.6630, 0.3370, 0.0000)  2 Sn 3.17, 10 Sc 3.20-3.31
Sc (0.6630, 0.6630, 0.3260)  2 Sn 3.17, 10 Sc 3.20-3.31
Sc (0.6648, 0.0000, 0.6648)  11 Sc 3.19-3.31, 1 Sn 3.29
Sn (0.0000, 0.0000, 0.0000)  12 Sc 3.17-3.29

***

Computed, not measured: crystalline CaYEr2S4 at its relaxed geometry at the PBE level of DFT.

Output
Theoretical density ... 5.81 g/cm³
Formation energy from raw total energies ... -2.004 eV/atom

a b c (Å): 6.7751 3.8959 6.7818
angles (deg): 90.00 109.17 90.00
With the nearest neighbours (Å) after each atom.
Atoms (fractional coordinates):
Ca (0.0000, 0.0000, 0.0000)  6 S 2.78-2.79
Y (0.0000, 0.5000, 0.5000)  6 S 2.78-2.79
Er (0.5000, 0.0000, 0.5000)  6 S 2.74
Er (0.5000, 0.5000, 0.0000)  6 S 2.74-2.75
S (0.2550, 0.0000, 0.7518)  3 Er 2.74-2.75, 1 Ca 2.78, 2 Y 2.79
S (0.2564, 0.5000, 0.2529)  3 Er 2.74, 1 Y 2.78, 2 Ca 2.79
S (0.7436, 0.5000, 0.7471)  3 Er 2.74, 1 Y 2.78, 2 Ca 2.79
S (0.7450, 0.0000, 0.2482)  3 Er 2.74-2.75, 1 Ca 2.78, 2 Y 2.79

***

Computed, not measured: crystalline AlGaOs at its relaxed geometry at the PBE level of DFT.

Output
Energy relative to the elements ... -0.3641 eV per atom
Theoretical density ... 11.18 g/cm³
ΔE to the lowest computed polymorph ... 0 meV per atom

a b c (Å): 4.7251 4.7251 4.7251
angles (deg): 140.33 140.33 57.35
With the nearest neighbours (Å) after each atom.
Atoms (fractional coordinates):
Al (0.0000, 0.0000, 0.0000)  5 Os 2.63-2.81, 5 Ga 2.68-2.72
Ga (0.3280, 0.3280, 0.0000)  5 Os 2.66-2.76, 5 Al 2.68-2.72
Os (0.6609, 0.6609, 0.0000)  5 Al 2.63-2.81, 5 Ga 2.66-2.76

***

Computed, not measured: crystalline AcSmYTh at its relaxed geometry at the PBE level of DFT.

Output
Energy relative to the elements ... 0.0424 eV per atom
Theoretical density ... 8.15 g/cm³
ΔE to the lowest computed polymorph ... 0 meV per atom

a b c (Å): 3.7003 3.7003 10.3963
angles (deg): 90.00 90.00 90.00
With the nearest neighbours (Å) after each atom.
Atoms (fractional coordinates):
Ac (0.0000, 0.0000, 0.0000)  4 Ac 3.70, 4 Y 3.83, 4 Sm 3.86
Sm (0.5000, 0.5000, 0.2733)  4 Th 3.55, 4 Sm 3.70, 4 Ac 3.86
Y (0.5000, 0.5000, 0.7314)  4 Th 3.53, 4 Y 3.70, 4 Ac 3.83
Th (0.0000, 0.0000, 0.5036)  4 Y 3.53, 4 Sm 3.55, 4 Th 3.70

***

Computed, not measured: crystalline CaAgHPt2 at its relaxed geometry at the PBE level of DFT.

Output
Theoretical density ... 11.93 g/cm³
ΔE to the lowest computed polymorph ... 49 meV per atom

a b c (Å): 4.1642 4.1642 4.3267
angles (deg): 90.00 90.00 90.00
With the nearest neighbours (Å) after each atom.
Atoms (fractional coordinates):
Ca (0.0000, 0.0000, 0.0000)  4 Ag 2.94, 8 Pt 3.00
Ag (0.5000, 0.5000, 0.0000)  2 H 2.16
H (0.5000, 0.5000, 0.5000)  4 Pt 2.08, 2 Ag 2.16
Pt (0.0000, 0.5000, 0.5000)  2 H 2.08
Pt (0.5000, 0.0000, 0.5000)  2 H 2.08

***

Computed, not measured: crystalline CeTmPuSn at its relaxed geometry at the PBE level of DFT.

Output
Energy relative to the elements ... -0.1785 eV per atom
Theoretical density ... 10.67 g/cm³

a b c (Å): 5.2876 5.2876 5.2876
angles (deg): 60.00 60.00 60.00
With the nearest neighbours (Å) after each atom.
Atoms (fractional coordinates):
Ce (0.0000, 0.0000, 0.0000)  4 Tm 3.24, 4 Pu 3.24
Tm (0.7500, 0.7500, 0.7500)  4 Ce 3.24, 4 Sn 3.24
Pu (0.2500, 0.2500, 0.2500)  4 Ce 3.24, 4 Sn 3.24
Sn (0.5000, 0.5000, 0.5000)  4 Tm 3.24, 4 Pu 3.24

***

Computed, not measured: crystalline RbSnSe2Br at its relaxed geometry at the PBE level of DFT.

Output
Theoretical density ... 4.36 g/cm³
Formation energy from raw total energies ... -0.635 eV/atom
ΔE to the lowest computed polymorph ... 0 meV per atom

a b c (Å): 5.3282 5.3282 5.9326
angles (deg): 90.00 90.00 90.00
With the nearest neighbours (Å) after each atom.
Atoms (fractional coordinates):
Rb (0.0000, 0.0000, 0.0000)  4 Br 3.77, 8 Se 3.99
Sn (0.5000, 0.5000, 0.5000)  4 Se 2.66, 2 Br 2.97
Se (0.0000, 0.5000, 0.5000)  2 Sn 2.66
Se (0.5000, 0.0000, 0.5000)  2 Sn 2.66
Br (0.5000, 0.5000, 0.0000)  2 Sn 2.97

***

Computed, not measured: crystalline Ba3Tl2Sn9 at its relaxed geometry at the PBE level of DFT.

Output
Energy relative to the elements ... -0.3460 eV per atom
Theoretical density ... 6.80 g/cm³

a b c (Å): 9.7576 9.7576 9.7576
angles (deg): 147.98 106.49 82.43
With the nearest neighbours (Å) after each atom.
Atoms (fractional coordinates):
Ba (0.0000, 0.0000, 0.0000)  12 Sn 3.86-3.89
Ba (0.3040, 0.3040, 0.0000)  2 Tl 3.55, 12 Sn 3.82-3.94
Ba (0.6960, 0.6960, 0.0000)  2 Tl 3.55, 12 Sn 3.82-3.94
Tl (0.3219, 0.5000, 0.8219)  4 Sn 3.13-3.40
Tl (0.6781, 0.5000, 0.1781)  4 Sn 3.13-3.40
Sn (0.0175, 0.6541, 0.3635)  4 Sn 3.05-3.19, 1 Tl 3.13
Sn (0.1219, 0.8488, 0.2731)  3 Sn 3.05-3.13
Sn (0.2906, 0.6541, 0.6365)  4 Sn 3.05-3.19, 1 Tl 3.13
Sn (0.4243, 0.1512, 0.2731)  3 Sn 3.05-3.13
Sn (0.5000, 0.0000, 0.5000)  4 Tl 3.40, 4 Sn 3.46
Sn (0.5757, 0.8488, 0.7269)  3 Sn 3.05-3.13
Sn (0.7094, 0.3459, 0.3635)  4 Sn 3.05-3.19, 1 Tl 3.13
Sn (0.8781, 0.1512, 0.7269)  3 Sn 3.05-3.13
Sn (0.9825, 0.3459, 0.6365)  4 Sn 3.05-3.19, 1 Tl 3.13

***

Computed, not measured: crystalline Mn3Cd4 at its relaxed geometry at the PBE level of DFT.

Output
Energy relative to the elements ... 0.3310 eV per atom
Theoretical density ... 7.75 g/cm³
ΔE to the lowest computed polymorph ... 89 meV per atom

a b c (Å): 5.3175 5.3175 5.3798
angles (deg): 90.00 90.00 120.00
With the nearest neighbours (Å) after each atom.
Atoms (fractional coordinates):
Mn (0.0000, 0.5000, 0.0000)  4 Mn 2.66
Mn (0.5000, 0.0000, 0.0000)  4 Mn 2.66
Mn (0.5000, 0.5000, 0.0000)  4 Mn 2.66
Cd (0.0000, 0.0000, 0.2501)  2 Cd 2.69, 6 Mn 2.98
Cd (0.0000, 0.0000, 0.7499)  2 Cd 2.69, 6 Mn 2.98
Cd (0.3333, 0.6667, 0.5000)  9 Cd 3.07-3.35, 6 Mn 3.10
Cd (0.6667, 0.3333, 0.5000)  9 Cd 3.07-3.35, 6 Mn 3.10

***

Computed, not measured: crystalline ThAlPd at its relaxed geometry at the PBE level of DFT.

Output
Energy relative to the elements ... -0.5670 eV per atom
Theoretical density ... 8.23 g/cm³

a b c (Å): 4.7072 4.7072 4.7072
angles (deg): 60.00 60.00 60.00
With the nearest neighbours (Å) after each atom.
Atoms (fractional coordinates):
Th (0.0000, 0.0000, 0.0000)  4 Pd 2.88
Al (0.5000, 0.5000, 0.5000)  4 Pd 2.88
Pd (0.7500, 0.7500, 0.7500)  4 Al 2.88, 4 Th 2.88

***

Computed, not measured: crystalline Y2TlP at its relaxed geometry at the PBE level of DFT.

Output
Energy relative to the elements ... -0.7612 eV per atom
Theoretical density ... 6.93 g/cm³
ΔE to the lowest computed polymorph ... 236 meV per atom

a b c (Å): 3.5367 3.6349 7.7629
angles (deg): 90.00 97.34 90.00
With the nearest neighbours (Å) after each atom.
Atoms (fractional coordinates):
Y (0.0846, 0.0000, 0.2856)  2 P 2.76
Y (0.9154, 0.0000, 0.7144)  2 P 2.76
Tl (0.5000, 0.5000, 0.0000)  8 Y 3.35-3.36, 4 Tl 3.54-3.63
P (0.5000, 0.5000, 0.5000)  4 Y 2.76

***

Computed, not measured: crystalline GeO2F at its relaxed geometry at the PBE level of DFT.

Output
Theoretical density ... 3.76 g/cm³
Formation energy from raw total energies ... -0.950 eV/atom
ΔE to the lowest computed polymorph ... 0 meV per atom

a b c (Å): 5.3559 5.3559 5.3559
angles (deg): 119.61 119.61 90.68
With the nearest neighbours (Å) after each atom.
Atoms (fractional coordinates):
Ge (0.0000, 0.0000, 0.0000)  4 O 1.76
Ge (0.7500, 0.2500, 0.5000)  4 O 1.76
O (0.3750, 0.2436, 0.3686)  2 Ge 1.76
O (0.7564, 0.1250, 0.1314)  2 Ge 1.76
O (0.8750, 0.0064, 0.6314)  2 Ge 1.76
O (0.9936, 0.6250, 0.8686)  2 Ge 1.76
F (0.2500, 0.7500, 0.5000)  4 O 2.63
F (0.5000, 0.5000, 0.0000)  4 O 2.63

***

Computed, not measured: crystalline CdPSe2 at its relaxed geometry at the PBE level of DFT.

Output
Theoretical density ... 6.26 g/cm³
Formation energy from raw total energies ... 0.380 eV/atom
ΔE to the lowest computed polymorph ... 411 meV per atom

a b c (Å): 3.3802 3.3802 6.9946
angles (deg): 90.00 90.00 90.00
With the nearest neighbours (Å) after each atom.
Atoms (fractional coordinates):
Cd (0.0000, 0.0000, 0.0000)  8 Se 3.06, 4 Cd 3.38
P (0.0000, 0.0000, 0.5000)  8 Se 2.87
Se (0.5000, 0.5000, 0.2733)  4 P 2.87, 4 Cd 3.06, 1 Se 3.17
Se (0.5000, 0.5000, 0.7267)  4 P 2.87, 4 Cd 3.06, 1 Se 3.17

***

Computed, not measured: crystalline LiNbSn2I at its relaxed geometry at the PBE level of DFT.

Output
Theoretical density ... 6.21 g/cm³
Formation energy from raw total energies ... 0.874 eV/atom

a b c (Å): 4.9208 4.9208 5.1258
angles (deg): 90.00 90.00 90.00
With the nearest neighbours (Å) after each atom.
Atoms (fractional coordinates):
Li (0.0000, 0.0000, 0.0000)  4 Sn 2.46, 2 I 2.56
Nb (0.5000, 0.5000, 0.5000)  4 I 3.48, 8 Sn 3.55
Sn (0.0000, 0.5000, 0.0000)  2 Li 2.46
Sn (0.5000, 0.0000, 0.0000)  2 Li 2.46
I (0.0000, 0.0000, 0.5000)  2 Li 2.56